Arrangement i

The following is a PBE calculation of a geometry-optimized NiPdPb3 structure, from Alexandria via LeMat-Bulk.

abc: 5.315 5.315 5.315
angles: 90.00 90.00 90.00
Element x y z (fractional)
1 Pb 0.000 0.500 0.000
2 Pb 0.000 0.000 0.500
3 Pb 0.500 0.000 0.000
4 Ni 0.500 0.500 0.500
5 Pd 0.000 0.000 0.000

The calculation puts the spin magnetization at 0.465 μB/cell.

***

Arrangement ii

The following is a PBE calculation of a geometry-optimized NiPdPb3 structure, from Alexandria via LeMat-Bulk.

abc: 5.072 5.072 5.072
angles: 90.00 90.00 90.00
Element x y z (fractional)
1 Pb 0.000 0.500 0.000
2 Pb 0.000 0.000 0.500
3 Pb 0.500 0.000 0.000
4 Ni 0.000 0.000 0.000
5 Pd 0.500 0.500 0.500

The calculation puts the spin magnetization at 0.000 μB/cell.

***

It is arrangement ii that is most stable; the runner-up trails by 0.332 eV/atom.

***

Arrangement i

The following is a PBE calculation of a geometry-optimized NiPd3Pb structure, from Alexandria via LeMat-Bulk.

abc: 5.039 5.039 5.039
angles: 90.00 90.00 90.00
Element x y z (fractional)
1 Pb 0.000 0.000 0.000
2 Ni 0.500 0.500 0.500
3 Pd 0.000 0.500 0.000
4 Pd 0.000 0.000 0.500
5 Pd 0.500 0.000 0.000

The calculation puts the spin magnetization at 0.805 μB/cell.

***

Arrangement ii

The following is a PBE calculation of a geometry-optimized NiPd3Pb structure, from Alexandria via LeMat-Bulk.

abc: 4.644 4.644 4.644
angles: 90.00 90.00 90.00
Element x y z (fractional)
1 Pb 0.500 0.500 0.500
2 Ni 0.000 0.000 0.000
3 Pd 0.000 0.500 0.000
4 Pd 0.000 0.000 0.500
5 Pd 0.500 0.000 0.000

The calculation puts the spin magnetization at 1.223 μB/cell.

***

It is arrangement ii that is most stable; the runner-up trails by 0.722 eV/atom.

***

Arrangement i

The following is a PBE calculation of a geometry-optimized Pm4NiPb2 structure, from Alexandria via LeMat-Bulk.

abc: 5.048 5.048 9.319
angles: 105.72 105.72 90.00
Element x y z (fractional)
1 Pb 0.638 0.638 0.277
2 Pb 0.362 0.362 0.723
3 Ni 0.000 0.000 0.000
4 Pm 0.825 0.825 0.649
5 Pm 0.175 0.175 0.351
6 Pm 0.000 0.500 0.000
7 Pm 0.500 0.000 0.000

The calculation puts the spin magnetization at 0.000 μB/cell.

***

Arrangement ii

The following is a PBE calculation of a geometry-optimized Pm4NiPb2 structure, from Alexandria via LeMat-Bulk.

abc: 4.605 8.886 8.068
angles: 136.36 106.58 90.00
Element x y z (fractional)
1 Pm 0.929 0.204 0.858
2 Pm 0.071 0.796 0.142
3 Pm 0.666 0.273 0.332
4 Pm 0.334 0.727 0.668
5 Ni 0.000 0.000 0.000
6 Pb 0.649 0.638 0.298
7 Pb 0.351 0.362 0.702

The calculation puts the spin magnetization at 0.000 μB/cell.

***

It is arrangement ii that is most stable; the runner-up trails by 0.052 eV/atom.

***

Arrangement i

The following is a PBE calculation of a geometry-optimized Pm3NiPb2 structure, from Alexandria via LeMat-Bulk.

abc: 4.491 12.122 12.540
angles: 90.00 90.00 90.00
Element x y z (fractional)
1 Pm 0.250 0.369 0.056
2 Pm 0.750 0.631 0.944
3 Pm 0.750 0.869 0.444
4 Pm 0.250 0.131 0.556
5 Pm 0.250 0.704 0.233
6 Pm 0.750 0.296 0.767
7 Pm 0.750 0.204 0.267
8 Pm 0.250 0.796 0.733
9 Pm 0.250 0.450 0.379
10 Pm 0.750 0.550 0.621
11 Pm 0.750 0.950 0.121
12 Pm 0.250 0.050 0.879
13 Ni 0.250 0.133 0.128
14 Ni 0.750 0.867 0.872
15 Ni 0.750 0.633 0.372
16 Ni 0.250 0.367 0.628
17 Pb 0.250 0.689 0.494
18 Pb 0.750 0.311 0.506
19 Pb 0.750 0.189 0.006
20 Pb 0.250 0.811 0.994
21 Pb 0.250 0.004 0.311
22 Pb 0.750 0.996 0.689
23 Pb 0.750 0.504 0.189
24 Pb 0.250 0.496 0.811

The calculation puts the spin magnetization at 2.542 μB/cell.

***

Arrangement ii

The following is a PBE calculation of a geometry-optimized Pm3NiPb2 structure, from Alexandria via LeMat-Bulk.

abc: 6.449 8.689 7.198
angles: 106.96 116.61 90.00
Element x y z (fractional)
1 Pm 0.317 0.250 0.000
2 Pm 0.683 0.750 0.000
3 Pm 0.046 0.132 0.324
4 Pm 0.722 0.368 0.676
5 Pm 0.278 0.632 0.324
6 Pm 0.954 0.868 0.676
7 Ni 0.136 0.750 0.000
8 Ni 0.864 0.250 0.000
9 Pb 0.775 0.503 0.285
10 Pb 0.510 0.003 0.285
11 Pb 0.490 0.997 0.715
12 Pb 0.225 0.497 0.715

The calculation puts the spin magnetization at 0.000 μB/cell.

***

It is arrangement i that is most stable; the runner-up trails by 0.135 eV/atom.

***

Arrangement i

The following is a PBE calculation of a geometry-optimized Ni2Rh2Pb structure, from Alexandria via LeMat-Bulk.

abc: 3.767 3.767 6.331
angles: 72.69 72.69 90.00
Element x y z (fractional)
1 Pb 0.000 0.000 0.000
2 Ni 0.397 0.397 0.206
3 Ni 0.603 0.603 0.794
4 Rh 0.750 0.250 0.500
5 Rh 0.250 0.750 0.500

The calculation puts the spin magnetization at 2.763 μB/cell.

***

Arrangement ii

The following is a PBE calculation of a geometry-optimized Ni2Rh2Pb structure, from Alexandria via LeMat-Bulk.

abc: 6.665 6.665 3.444
angles: 90.00 90.00 90.00
Element x y z (fractional)
1 Pb 0.000 0.000 0.000
2 Pb 0.500 0.500 0.000
3 Ni 0.372 0.872 0.000
4 Ni 0.872 0.628 0.000
5 Ni 0.628 0.128 0.000
6 Ni 0.128 0.372 0.000
7 Rh 0.154 0.654 0.500
8 Rh 0.654 0.846 0.500
9 Rh 0.846 0.346 0.500
10 Rh 0.346 0.154 0.500

The calculation puts the spin magnetization at 3.741 μB/cell.

***

Arrangement iii

The following is a PBE calculation of a geometry-optimized Ni2Rh2Pb structure, from Alexandria via LeMat-Bulk.

abc: 3.507 3.507 6.941
angles: 75.37 75.37 90.00
Element x y z (fractional)
1 Pb 0.000 0.000 0.000
2 Ni 0.750 0.250 0.500
3 Ni 0.250 0.750 0.500
4 Rh 0.390 0.390 0.219
5 Rh 0.610 0.610 0.781

The calculation puts the spin magnetization at 2.433 μB/cell.

***

It is arrangement ii that is most stable; the runner-up trails by 0.009 eV/atom.

***

Arrangement i

The following is a PBE calculation of a geometry-optimized NiRhPb3 structure, from Alexandria via LeMat-Bulk.

abc: 5.022 5.022 5.022
angles: 90.00 90.00 90.00
Element x y z (fractional)
1 Pb 0.000 0.500 0.000
2 Pb 0.000 0.000 0.500
3 Pb 0.500 0.000 0.000
4 Ni 0.000 0.000 0.000
5 Rh 0.500 0.500 0.500

The calculation puts the spin magnetization at 0.000 μB/cell.

***

Arrangement ii

The following is a PBE calculation of a geometry-optimized NiRhPb3 structure, from Alexandria via LeMat-Bulk.

abc: 5.241 5.241 5.241
angles: 90.00 90.00 90.00
Element x y z (fractional)
1 Pb 0.000 0.500 0.000
2 Pb 0.000 0.000 0.500
3 Pb 0.500 0.000 0.000
4 Ni 0.500 0.500 0.500
5 Rh 0.000 0.000 0.000

The calculation puts the spin magnetization at 0.000 μB/cell.

***

It is arrangement i that is most stable; the runner-up trails by 0.072 eV/atom.

***

Arrangement i

The following is a PBE calculation of a geometry-optimized NiPbS3 structure, from Alexandria via LeMat-Bulk.

abc: 5.153 5.153 5.153
angles: 90.00 90.00 90.00
Element x y z (fractional)
1 Pb 0.000 0.000 0.000
2 Ni 0.500 0.500 0.500
3 S 0.000 0.500 0.000
4 S 0.000 0.000 0.500
5 S 0.500 0.000 0.000

The calculation puts the spin magnetization at 0.262 μB/cell.

***

Arrangement ii

The following is a PBE calculation of a geometry-optimized NiPbS3 structure, from Alexandria via LeMat-Bulk.

abc: 4.561 4.561 4.561
angles: 90.00 90.00 90.00
Element x y z (fractional)
1 Pb 0.500 0.500 0.500
2 Ni 0.000 0.000 0.000
3 S 0.000 0.500 0.000
4 S 0.000 0.000 0.500
5 S 0.500 0.000 0.000

The calculation puts the spin magnetization at 0.000 μB/cell.

***

It is arrangement ii that is most stable; the runner-up trails by 1.171 eV/atom.

***

Arrangement i

The following is a PBE calculation of a geometry-optimized Ni3PbS structure, from Alexandria via LeMat-Bulk.

abc: 4.776 4.776 4.776
angles: 90.00 90.00 90.00
Element x y z (fractional)
1 Pb 0.000 0.000 0.000
2 Ni 0.000 0.500 0.000
3 Ni 0.000 0.000 0.500
4 Ni 0.500 0.000 0.000
5 S 0.500 0.500 0.500

The calculation puts the spin magnetization at 0.497 μB/cell.

***

Arrangement ii

The following is a PBE calculation of a geometry-optimized Ni3PbS structure, from Alexandria via LeMat-Bulk.

abc: 4.285 4.285 4.285
angles: 90.00 90.00 90.00
Element x y z (fractional)
1 Pb 0.500 0.500 0.500
2 Ni 0.000 0.500 0.000
3 Ni 0.000 0.000 0.500
4 Ni 0.500 0.000 0.000
5 S 0.000 0.000 0.000

The calculation puts the spin magnetization at 0.000 μB/cell.

***

It is arrangement ii that is most stable; the runner-up trails by 1.452 eV/atom.

***

Arrangement i

The following is a PBE calculation of a geometry-optimized Ni2Sb2Pb structure, from Alexandria via LeMat-Bulk.

abc: 4.625 4.625 5.993
angles: 67.30 67.30 90.00
Element x y z (fractional)
1 Pb 0.000 0.000 0.000
2 Sb 0.750 0.250 0.500
3 Sb 0.250 0.750 0.500
4 Ni 0.374 0.374 0.252
5 Ni 0.626 0.626 0.748

The calculation puts the spin magnetization at 0.000 μB/cell.

***

Arrangement ii

The following is a PBE calculation of a geometry-optimized Ni2Sb2Pb structure, from Alexandria via LeMat-Bulk.

abc: 7.799 7.799 3.314
angles: 90.00 90.00 90.00
Element x y z (fractional)
1 Pb 0.000 0.000 0.000
2 Pb 0.500 0.500 0.000
3 Sb 0.152 0.652 0.500
4 Sb 0.652 0.848 0.500
5 Sb 0.848 0.348 0.500
6 Sb 0.348 0.152 0.500
7 Ni 0.381 0.881 0.000
8 Ni 0.881 0.619 0.000
9 Ni 0.619 0.119 0.000
10 Ni 0.119 0.381 0.000

The calculation puts the spin magnetization at 0.000 μB/cell.

***

Arrangement iii

The following is a PBE calculation of a geometry-optimized Ni2Sb2Pb structure, from Alexandria via LeMat-Bulk.

abc: 4.455 4.455 6.285
angles: 69.24 69.24 90.00
Element x y z (fractional)
1 Pb 0.000 0.000 0.000
2 Sb 0.361 0.361 0.277
3 Sb 0.639 0.639 0.723
4 Ni 0.750 0.250 0.500
5 Ni 0.250 0.750 0.500

The calculation puts the spin magnetization at 0.000 μB/cell.

***

It is arrangement iii that is most stable; the runner-up trails by 0.090 eV/atom.

***

Arrangement i

The following is a PBE calculation of a geometry-optimized NiSb2TePb structure, from Alexandria via LeMat-Bulk.

abc: 4.906 4.906 5.405
angles: 90.00 90.00 90.00
Element x y z (fractional)
1 Pb 0.500 0.500 0.500
2 Sb 0.000 0.500 0.000
3 Sb 0.500 0.000 0.000
4 Te 0.000 0.000 0.500
5 Ni 0.000 0.000 0.000

The calculation puts the spin magnetization at 0.000 μB/cell.

***

Arrangement ii

The following is a PBE calculation of a geometry-optimized NiSb2TePb structure, from Alexandria via LeMat-Bulk.

abc: 5.699 5.916 5.699
angles: 90.00 90.00 90.00
Element x y z (fractional)
1 Pb 0.000 0.500 0.000
2 Sb 0.000 0.000 0.500
3 Sb 0.500 0.000 0.000
4 Te 0.000 0.000 0.000
5 Ni 0.500 0.500 0.500

The calculation puts the spin magnetization at 0.012 μB/cell.

***

It is arrangement i that is most stable; the runner-up trails by 1.097 eV/atom.

***

Arrangement i

The following is a PBE calculation of a geometry-optimized ScNiPb2 structure, from Alexandria via LeMat-Bulk.

abc: 4.480 4.480 10.233
angles: 77.36 77.36 90.00
Element x y z (fractional)
1 Pb 0.646 0.125 0.250
2 Pb 0.104 0.625 0.250
3 Pb 0.375 0.354 0.750
4 Pb 0.875 0.896 0.750
5 Ni 0.000 0.000 0.000
6 Ni 0.750 0.250 0.500
7 Sc 0.500 0.500 0.000
8 Sc 0.250 0.750 0.500

The calculation puts the spin magnetization at 0.000 μB/cell.

***

Arrangement ii

The following is a PBE calculation of a geometry-optimized ScNiPb2 structure, from Alexandria via LeMat-Bulk.

abc: 3.463 3.463 7.413
angles: 90.00 90.00 100.53
Element x y z (fractional)
1 Ni 0.500 0.500 0.750
2 Pb 0.000 0.000 0.967
3 Pb 0.000 0.000 0.533
4 Sc 0.500 0.500 0.250

The calculation puts the spin magnetization at 0.644 μB/cell.

***

It is arrangement ii that is most stable; the runner-up trails by 0.179 eV/atom.